(1)
# AcZr2Hg

Crystalline AcZr2Hg at its relaxed geometry (PBE-GGA, Alexandria via LeMat-Bulk).

The structure in extended XYZ format:
```
12
Lattice="3.329 0.000 0.000 -1.664 2.883 0.000 0.000 0.000 34.074" Properties=species:S:1:pos:R:3 pbc="T T T"
Ac 0.000 0.000 0.000
Ac 0.000 1.922 22.716
Ac 1.664 0.961 11.358
Zr 0.000 0.000 3.259
Zr 0.000 0.000 30.816
Zr 0.000 1.922 19.458
Zr 0.000 1.922 25.975
Zr 1.664 0.961 8.099
Zr 1.664 0.961 14.617
Hg 0.000 0.000 17.037
Hg 0.000 1.922 5.679
Hg 1.664 0.961 28.395
```

D(E_F) ... 13.97 states/eV/cell
Calculated formation energy ... 0.37 eV per atom

---

(2)
# PuPaP

Crystalline PuPaP at its relaxed geometry (PBE-GGA, Alexandria via LeMat-Bulk).

The structure in extended XYZ format:
```
3
Lattice="3.711 0.000 0.000 -1.855 3.213 0.000 0.000 0.000 5.203" Properties=species:S:1:pos:R:3 pbc="T T T"
Pu 0.000 0.000 0.000
Pa 0.000 2.142 3.505
P 1.855 1.071 1.721
```

D(E_F) ... 4.34 states/eV/cell
Calculated formation energy ... -0.64 eV per atom
Distance to the lowest polymorph of the same formula ... 0.025 eV per atom

---

(3)
# Pt2PbW

Crystalline Pt2PbW at its relaxed geometry (PBE-GGA, Alexandria via LeMat-Bulk).

The structure in extended XYZ format:
```
12
Lattice="2.957 0.000 0.000 -1.478 2.561 0.000 0.000 0.000 29.228" Properties=species:S:1:pos:R:3 pbc="T T T"
Pt 0.000 0.000 0.000
Pt 0.000 0.000 7.425
Pt 0.000 1.707 19.485
Pt 0.000 1.707 26.911
Pt 1.478 0.854 9.743
Pt 1.478 0.854 17.168
Pb 0.000 0.000 14.555
Pb 0.000 1.707 4.812
Pb 1.478 0.854 24.298
W 0.000 0.000 21.551
W 0.000 1.707 11.809
W 1.478 0.854 2.066
```

D(E_F) ... 13.76 states/eV/cell
Calculated formation energy ... 0.37 eV per atom